Co2P3H11N2O9 PBE with a Hubbard U relaxed; E_tot = -5.757 eV/atom; symmetry = No. 159
1.0
5.4297 0.0000 0.0000
-2.7148 4.7022 0.0000
0.0000 0.0000 19.1167
Co P H N O
4 6 22 4 18
Direct
0.3333 0.6667 0.0000
0.3333 0.6667 0.1572
0.6667 0.3333 0.5000
0.6667 0.3333 0.6572
0.0000 0.0000 0.1990
0.0000 0.0000 0.4603
0.0000 0.0000 0.6990
0.0000 0.0000 0.9603
0.3333 0.6667 0.5970
0.6667 0.3333 0.0970
0.0000 0.0000 0.0335
0.0000 0.0000 0.1256
0.0000 0.0000 0.5335
0.0000 0.0000 0.6256
0.1560 0.6733 0.3927
0.1570 0.4832 0.7738
0.3262 0.8430 0.7738
0.3267 0.4827 0.3927
0.3333 0.6667 0.3193
0.3333 0.6667 0.6700
0.3333 0.6667 0.8474
0.4832 0.1570 0.2738
0.4827 0.3267 0.8927
0.5168 0.6738 0.7738
0.5173 0.8440 0.3927
0.6667 0.3333 0.1700
0.6667 0.3333 0.3474
0.6667 0.3333 0.8193
0.6733 0.1560 0.8927
0.6738 0.5168 0.2738
0.8430 0.3262 0.2738
0.8440 0.5173 0.8927
0.3333 0.6667 0.3730
0.3333 0.6667 0.7936
0.6667 0.3333 0.2936
0.6667 0.3333 0.8730
0.0143 0.5059 0.5770
0.1161 0.3110 0.2230
0.1169 0.8067 0.9356
0.1933 0.3102 0.9356
0.1949 0.8839 0.2230
0.3102 0.1933 0.4356
0.3110 0.1161 0.7230
0.4916 0.9857 0.5770
0.4941 0.5084 0.5770
0.5059 0.0143 0.0770
0.5084 0.4941 0.0770
0.6890 0.8051 0.2230
0.6898 0.8831 0.9356
0.8051 0.6890 0.7230
0.8067 0.1169 0.4356
0.8831 0.6898 0.4356
0.8839 0.1949 0.7230
0.9857 0.4916 0.0770